No. 1
Here is a relaxed YGa3Ir crystal from the Alexandria database. Energies are from PBE.

Cell: 4.239 6.665 6.867 Å, 104.85 90.00 90.00°
Fractional coordinates of all 10 atoms:
1 Ir 0.250 0.740 0.940
2 Ga 0.750 0.514 0.844
3 Ga 0.750 0.903 0.809
4 Ir 0.750 0.260 0.060
5 Ga 0.250 0.486 0.156
6 Ga 0.250 0.663 0.562
7 Ga 0.250 0.097 0.191
8 Ga 0.750 0.337 0.438
9 Y 0.250 0.178 0.712
10 Y 0.750 0.822 0.288

Properties
**Calculated volume**: 18.8 Å³ per atom
**Energy of formation from the pure elements**: -609.0 meV/atom
**Magnetization**: 0.000 μB/atom
**Total DFT energy (no corrections)**: -54.90 eV/cell

=====

No. 2
Here is a relaxed Y3Ga3Ir crystal from the Alexandria database. Energies are from PBE.

Cell: 4.204 5.815 13.834 Å, 83.76 81.26 68.81°
Fractional coordinates of all 14 atoms:
1 Y 0.527 0.328 0.618
2 Y 0.473 0.672 0.382
3 Ga 0.855 0.754 0.536
4 Ga 0.892 0.140 0.075
5 Y 0.738 0.761 0.763
6 Ir 0.760 0.096 0.385
7 Y 0.391 0.295 0.923
8 Ir 0.240 0.904 0.615
9 Ga 0.974 0.823 0.230
10 Ga 0.108 0.860 0.925
11 Y 0.609 0.705 0.077
12 Y 0.262 0.239 0.237
13 Ga 0.145 0.246 0.464
14 Ga 0.026 0.177 0.770

Properties
**Calculated volume**: 22.2 Å³ per atom
**Energy of formation from the pure elements**: -743.1 meV/atom
**Magnetization**: 0.000 μB/atom
**Total DFT energy (no corrections)**: -85.07 eV/cell

=====

No. 3
Here is a relaxed Y5GaIr2 crystal from the Alexandria database. Energies are from PBE.

Cell: 7.722 7.722 8.621 Å, 116.61 116.61 90.00°
Fractional coordinates of all 16 atoms:
1 Y 0.976 0.476 0.277
2 Y 0.700 0.200 0.723
3 Ga 0.250 0.250 0.500
4 Ir 0.863 0.637 0.000
5 Y 0.024 0.524 0.723
6 Ir 0.363 0.863 0.000
7 Y 0.200 0.024 0.723
8 Ir 0.137 0.363 0.000
9 Y 0.300 0.800 0.277
10 Y 0.800 0.976 0.277
11 Ir 0.637 0.137 0.000
12 Y 0.476 0.300 0.277
13 Y 0.000 0.000 0.000
14 Y 0.500 0.500 0.000
15 Y 0.524 0.700 0.723
16 Ga 0.750 0.750 0.500

Properties
**Calculated volume**: 24.9 Å³ per atom
**Energy of formation from the pure elements**: -672.0 meV/atom
**Magnetization**: 0.000 μB/atom
**Total DFT energy (no corrections)**: -116.89 eV/cell

=====

No. 4
Here is a relaxed Y3Ga3Ir2 crystal from the Alexandria database. Energies are from PBE.

Cell: 5.634 7.891 15.094 Å, 90.00 90.00 90.00°
Fractional coordinates of all 32 atoms:
1 Ga 0.106 0.179 0.537
2 Ga 0.606 0.321 0.037
3 Y 0.886 0.540 0.609
4 Ga 0.874 0.837 0.750
5 Ga 0.894 0.821 0.037
6 Ir 0.121 0.889 0.893
7 Ir 0.621 0.611 0.393
8 Ir 0.879 0.111 0.107
9 Ir 0.121 0.889 0.607
10 Y 0.886 0.540 0.891
11 Ga 0.894 0.821 0.463
12 Y 0.114 0.460 0.109
13 Ga 0.626 0.337 0.750
14 Y 0.386 0.960 0.109
15 Y 0.367 0.678 0.750
16 Ga 0.394 0.679 0.963
17 Y 0.614 0.040 0.609
18 Ga 0.374 0.663 0.250
19 Ir 0.621 0.611 0.107
20 Ga 0.394 0.679 0.537
21 Y 0.133 0.178 0.750
22 Ga 0.126 0.163 0.250
23 Y 0.633 0.322 0.250
24 Ir 0.379 0.389 0.893
25 Y 0.386 0.960 0.391
26 Ir 0.379 0.389 0.607
27 Y 0.867 0.822 0.250
28 Y 0.614 0.040 0.891
29 Ir 0.879 0.111 0.393
30 Ga 0.106 0.179 0.963
31 Y 0.114 0.460 0.391
32 Ga 0.606 0.321 0.463

Properties
**Calculated volume**: 21.0 Å³ per atom
**Energy of formation from the pure elements**: -784.3 meV/atom
**Magnetization**: 0.000 μB/atom
**Total DFT energy (no corrections)**: -209.88 eV/cell

=====

No. 5
Here is a relaxed Y6Ga3Ir crystal from the Alexandria database. Energies are from PBE.

Cell: 5.034 8.672 11.529 Å, 90.00 90.00 90.00°
Fractional coordinates of all 20 atoms:
1 Ga 0.000 0.339 0.763
2 Ga 0.500 0.500 0.000
3 Ir 0.000 0.000 0.000
4 Y 0.000 0.660 0.586
5 Y 0.000 0.340 0.414
6 Ir 0.500 0.500 0.500
7 Y 0.500 0.495 0.254
8 Ga 0.500 0.161 0.263
9 Y 0.000 0.679 0.918
10 Y 0.500 0.179 0.582
11 Y 0.000 0.995 0.246
12 Y 0.500 0.505 0.746
13 Y 0.000 0.005 0.754
14 Ga 0.500 0.839 0.737
15 Y 0.500 0.821 0.418
16 Y 0.000 0.321 0.082
17 Ga 0.000 0.000 0.500
18 Y 0.500 0.840 0.086
19 Ga 0.000 0.661 0.237
20 Y 0.500 0.160 0.914

Properties
**Calculated volume**: 25.2 Å³ per atom
**Energy of formation from the pure elements**: -525.1 meV/atom
**Magnetization**: 0.000 μB/atom
**Total DFT energy (no corrections)**: -123.95 eV/cell

=====

No. 6
Here is a relaxed Y3Ga5Ir6 crystal from the Alexandria database. Energies are from PBE.

Cell: 4.265 8.980 12.870 Å, 90.00 90.00 90.00°
Fractional coordinates of all 28 atoms:
1 Ga 0.500 0.474 0.381
2 Ga 0.500 0.474 0.619
3 Ir 0.000 0.981 0.837
4 Y 0.500 0.755 0.196
5 Ga 0.500 0.131 0.155
6 Ir 0.000 0.594 0.687
7 Y 0.500 0.773 0.500
8 Y 0.000 0.245 0.696
9 Y 0.000 0.245 0.304
10 Y 0.500 0.755 0.804
11 Ir 0.000 0.594 0.313
12 Ga 0.500 0.131 0.845
13 Ir 0.500 0.958 0.000
14 Y 0.000 0.227 0.000
15 Ir 0.500 0.579 0.000
16 Ga 0.000 0.526 0.881
17 Ir 0.500 0.019 0.663
18 Ir 0.000 0.042 0.500
19 Ir 0.500 0.406 0.187
20 Ga 0.000 0.526 0.119
21 Ga 0.000 0.801 0.000
22 Ir 0.000 0.981 0.163
23 Ga 0.000 0.869 0.345
24 Ir 0.500 0.019 0.337
25 Ga 0.500 0.199 0.500
26 Ir 0.000 0.421 0.500
27 Ir 0.500 0.406 0.813
28 Ga 0.000 0.869 0.655

Properties
**Calculated volume**: 17.6 Å³ per atom
**Energy of formation from the pure elements**: -715.3 meV/atom
**Magnetization**: 0.000 μB/atom
**Total DFT energy (no corrections)**: -195.41 eV/cell

=====

No. 7
Here is a relaxed Y4GaIr4 crystal from the Alexandria database. Energies are from PBE.

Cell: 5.600 8.529 8.529 Å, 90.00 90.00 90.00°
Fractional coordinates of all 18 atoms:
1 Ir 0.112 0.867 0.994
2 Ir 0.612 0.494 0.133
3 Y 0.613 0.682 0.447
4 Ir 0.612 0.006 0.367
5 Ir 0.888 0.367 0.494
6 Y 0.387 0.318 0.553
7 Y 0.113 0.553 0.182
8 Y 0.613 0.818 0.053
9 Ir 0.888 0.133 0.006
10 Y 0.887 0.053 0.682
11 Y 0.887 0.447 0.818
12 Ga 0.250 0.750 0.750
13 Y 0.113 0.947 0.318
14 Ga 0.750 0.250 0.250
15 Ir 0.388 0.506 0.867
16 Ir 0.112 0.633 0.506
17 Ir 0.388 0.994 0.633
18 Y 0.387 0.182 0.947

Properties
**Calculated volume**: 22.6 Å³ per atom
**Energy of formation from the pure elements**: -654.7 meV/atom
**Magnetization**: 0.000 μB/atom
**Total DFT energy (no corrections)**: -140.44 eV/cell

=====

No. 8
Here is a relaxed Y2Ga4Ir3 crystal from the Alexandria database. Energies are from PBE.

Cell: 5.525 5.525 6.896 Å, 101.47 101.47 120.25°
Fractional coordinates of all 9 atoms:
1 Y 0.375 0.375 0.749
2 Ga 0.008 0.668 0.676
3 Ir 0.000 0.500 0.000
4 Ir 0.000 0.000 0.000
5 Ga 0.668 0.008 0.676
6 Ir 0.500 0.000 0.000
7 Y 0.625 0.625 0.251
8 Ga 0.992 0.332 0.324
9 Ga 0.332 0.992 0.324

Properties
**Calculated volume**: 18.5 Å³ per atom
**Energy of formation from the pure elements**: -636.0 meV/atom
**Magnetization**: 0.000 μB/atom
**Total DFT energy (no corrections)**: -57.34 eV/cell

=====

No. 9
Here is a relaxed Y2Ga5Ir3 crystal from the Alexandria database. Energies are from PBE.

Cell: 5.715 8.601 8.601 Å, 70.18 70.60 70.60°
Fractional coordinates of all 20 atoms:
1 Ga 0.415 0.264 0.906
2 Ir 0.348 0.563 0.741
3 Ir 0.848 0.741 0.563
4 Y 0.643 0.129 0.585
5 Ga 0.585 0.736 0.094
6 Y 0.143 0.585 0.129
7 Ir 0.250 0.000 0.000
8 Ga 0.750 0.500 0.500
9 Y 0.357 0.871 0.415
10 Ga 0.085 0.094 0.736
11 Ga 0.048 0.202 0.202
12 Ir 0.652 0.437 0.259
13 Ga 0.952 0.798 0.798
14 Ga 0.250 0.500 0.500
15 Y 0.857 0.415 0.871
16 Ga 0.548 0.202 0.202
17 Ir 0.152 0.259 0.437
18 Ir 0.750 0.000 0.000
19 Ga 0.915 0.906 0.264
20 Ga 0.452 0.798 0.798

Properties
**Calculated volume**: 18.2 Å³ per atom
**Energy of formation from the pure elements**: -755.4 meV/atom
**Magnetization**: 0.000 μB/atom
**Total DFT energy (no corrections)**: -124.40 eV/cell

=====

No. 10
Here is a relaxed YGa3Ir crystal from the Alexandria database. Energies are from PBE.

Cell: 6.441 6.441 6.441 Å, 90.00 90.00 90.00°
Fractional coordinates of all 15 atoms:
1 Ga 0.788 0.788 0.212
2 Y 0.500 0.000 0.500
3 Ga 0.788 0.212 0.788
4 Ir 0.000 0.500 0.000
5 Ga 0.212 0.788 0.212
6 Y 0.500 0.500 0.000
7 Ir 0.500 0.000 0.000
8 Ga 0.212 0.788 0.788
9 Ga 0.500 0.500 0.500
10 Ir 0.000 0.000 0.500
11 Y 0.000 0.500 0.500
12 Ga 0.212 0.212 0.212
13 Ga 0.788 0.788 0.788
14 Ga 0.212 0.212 0.788
15 Ga 0.788 0.212 0.212

Properties
**Calculated volume**: 17.8 Å³ per atom
**Energy of formation from the pure elements**: -677.8 meV/atom
**Magnetization**: 0.000 μB/atom
**Total DFT energy (no corrections)**: -83.38 eV/cell

=====

No. 11
Here is a relaxed YGa9Ir2 crystal from the Alexandria database. Energies are from PBE.

Cell: 6.654 8.587 8.587 Å, 81.37 67.20 67.20°
Fractional coordinates of all 24 atoms:
1 Ga 0.145 0.430 0.193
2 Ga 0.661 0.193 0.570
3 Ga 0.145 0.193 0.430
4 Ga 0.000 0.000 0.000
5 Ga 0.982 0.930 0.693
6 Ir 0.375 0.750 0.750
7 Ga 0.982 0.693 0.930
8 Ga 0.325 0.693 0.070
9 Y 0.250 0.500 0.500
10 Ga 0.661 0.570 0.193
11 Y 0.500 0.000 0.000
12 Ga 0.325 0.070 0.693
13 Ga 0.768 0.807 0.570
14 Ga 0.425 0.430 0.807
15 Ir 0.875 0.750 0.250
16 Ga 0.089 0.307 0.930
17 Ir 0.875 0.250 0.750
18 Ga 0.768 0.570 0.807
19 Ga 0.605 0.070 0.307
20 Ga 0.605 0.307 0.070
21 Ga 0.089 0.930 0.307
22 Ga 0.750 0.500 0.500
23 Ga 0.425 0.807 0.430
24 Ir 0.875 0.250 0.250

Properties
**Calculated volume**: 17.4 Å³ per atom
**Energy of formation from the pure elements**: -287.1 meV/atom
**Magnetization**: 0.000 μB/atom
**Total DFT energy (no corrections)**: -109.75 eV/cell

=====

No. 12
Here is a relaxed Y3Ga2Ir crystal from the Alexandria database. Energies are from PBE.

Cell: 4.299 11.202 11.877 Å, 90.00 90.00 90.00°
Fractional coordinates of all 24 atoms:
1 Y 0.250 0.441 0.383
2 Ga 0.750 0.304 0.510
3 Y 0.750 0.875 0.450
4 Y 0.250 0.698 0.229
5 Y 0.250 0.059 0.883
6 Ir 0.750 0.623 0.377
7 Ga 0.250 0.506 0.807
8 Y 0.250 0.125 0.550
9 Y 0.750 0.198 0.271
10 Ga 0.250 0.696 0.490
11 Ga 0.750 0.006 0.693
12 Ga 0.250 0.994 0.307
13 Y 0.750 0.559 0.617
14 Y 0.750 0.625 0.950
15 Ga 0.750 0.494 0.193
16 Y 0.250 0.375 0.050
17 Ir 0.250 0.123 0.123
18 Ir 0.750 0.877 0.877
19 Y 0.750 0.302 0.771
20 Ga 0.250 0.804 0.990
21 Ir 0.250 0.377 0.623
22 Ga 0.750 0.196 0.010
23 Y 0.750 0.941 0.117
24 Y 0.250 0.802 0.729

Properties
**Calculated volume**: 23.8 Å³ per atom
**Energy of formation from the pure elements**: -699.8 meV/atom
**Magnetization**: 0.000 μB/atom
**Total DFT energy (no corrections)**: -154.02 eV/cell